Run a
CaCrAs2: optimized geometry, PBEsol.

The calculation puts the magnetization at 11.4 Bohr magnetons per cell. The crystal system is cubic.

The space group is Fm-3m (No. 225) and the conventional cell measures 6.685, 6.685 and 6.685 Å, with angles of 90.00, 90.00 and 90.00 degrees. The distinct sites, in fractional coordinates, are Ca at (0.000, 0.000, 0.000), Cr at (0.000, 0.000, 0.500) and As at (0.250, 0.250, 0.250).

Run b
CaCrAs2: optimized geometry, PBEsol.

The calculation puts the magnetization at 4.6 Bohr magnetons per cell. The crystal system is trigonal.

The space group is R3m (No. 160, hexagonal axes) and the conventional cell measures 3.2285, 3.2285 and 25.8356 Å, with angles of 90.00, 90.00 and 120.00 degrees. The distinct sites, in fractional coordinates, are Ca at (0.0000, 0.0000, 0.0000), Cr at (0.0000, 0.0000, 0.7617), As at (0.0000, 0.0000, 0.2414) and As at (0.0000, 0.0000, 0.4840).

Of them, run b has the lowest stability.

Run a
CaAsF2: optimized geometry, PBEsol.

The calculation puts the magnetization at 0.0 Bohr magnetons per cell. The crystal system is trigonal.

The space group is R-3m (No. 166, hexagonal axes) and the conventional cell measures 3.2779, 3.2779 and 27.3158 Å, with angles of 90.00, 90.00 and 120.00 degrees. The distinct sites, in fractional coordinates, are Ca at (0.0000, 0.0000, 0.0000), As at (0.0000, 0.0000, 0.5000) and F at (0.0000, 0.0000, 0.3736).

Run b
CaAsF2: optimized geometry, PBEsol.

The calculation puts the magnetization at 1.1 Bohr magnetons per cell. The crystal system is trigonal.

The space group is R-3m (No. 166, hexagonal axes) and the conventional cell measures 3.1960, 3.1960 and 24.2582 Å, with angles of 90.00, 90.00 and 120.00 degrees. The distinct sites, in fractional coordinates, are Ca at (0.0000, 0.0000, 0.0000), As at (0.0000, 0.0000, 0.5000) and F at (0.0000, 0.0000, 0.0861).

Of them, run b has the lowest stability.

Run a
Ca2HgAs: optimized geometry, PBEsol.

The calculation puts the magnetization at 0.0 Bohr magnetons per cell. The crystal system is orthorhombic.

The space group is Amm2 (No. 38) and the conventional cell measures 4.342, 4.227 and 11.081 Å, with angles of 90.00, 90.00 and 90.00 degrees. The distinct sites, in fractional coordinates, are Ca at (0.000, 0.000, 0.000), Ca at (0.500, 0.000, 0.274), Hg at (0.000, 0.000, 0.722) and As at (0.500, 0.000, 0.549).

Run b
Ca2HgAs: optimized geometry, PBEsol.

The calculation puts the magnetization at 0.0 Bohr magnetons per cell. The crystal system is tetragonal.

The space group is P4mm (No. 99) and the conventional cell measures 4.313, 4.313 and 5.958 Å, with angles of 90.00, 90.00 and 90.00 degrees. The distinct sites, in fractional coordinates, are Ca at (0.000, 0.000, 0.000), Ca at (0.500, 0.500, 0.499), Hg at (0.500, 0.500, 0.999) and As at (0.000, 0.000, 0.500).

Run c
Ca2HgAs: optimized geometry, PBEsol.

The calculation puts the magnetization at 0.0 Bohr magnetons per cell. The crystal system is tetragonal.

The space group is P4/mmm (No. 123) and the conventional cell measures 4.934, 4.934 and 3.967 Å, with angles of 90.00, 90.00 and 90.00 degrees. The distinct sites, in fractional coordinates, are Ca at (0.000, 0.500, 0.000), Hg at (0.000, 0.000, 0.500) and As at (0.500, 0.500, 0.500).

Run d
Ca2HgAs: optimized geometry, PBEsol.

The calculation puts the magnetization at 0.0 Bohr magnetons per cell. The crystal system is monoclinic.

The space group is C2/m (No. 12) and the conventional cell measures 7.640, 4.385 and 7.149 Å, with angles of 90.00, 110.51 and 90.00 degrees. The distinct sites, in fractional coordinates, are Ca at (0.236, 0.000, 0.211), Hg at (0.000, 0.000, 0.500) and As at (0.000, 0.500, 0.000).

Of them, run b has the lowest stability.

Run a
CaAs3Ir: optimized geometry, PBEsol.

The calculation puts the magnetization at 0.0 Bohr magnetons per cell. The crystal system is cubic.

The space group is Pm-3m (No. 221) and the conventional cell measures 4.877, 4.877 and 4.877 Å, with angles of 90.00, 90.00 and 90.00 degrees. The distinct sites, in fractional coordinates, are Ca at (0.000, 0.000, 0.000), As at (0.000, 0.500, 0.500) and Ir at (0.500, 0.500, 0.500).

Run b
CaAs3Ir: optimized geometry, PBEsol.

The calculation puts the magnetization at 0.0 Bohr magnetons per cell. The crystal system is cubic.

The space group is Pm-3m (No. 221) and the conventional cell measures 4.998, 4.998 and 4.998 Å, with angles of 90.00, 90.00 and 90.00 degrees. The distinct sites, in fractional coordinates, are Ca at (0.000, 0.000, 0.000), As at (0.000, 0.000, 0.500) and Ir at (0.500, 0.500, 0.500).

Of them, run b has the lowest stability.

Run a
Ca2MgAs: optimized geometry, PBEsol.

The calculation puts the magnetization at 0.0 Bohr magnetons per cell. The crystal system is orthorhombic.

The space group is Imm2 (No. 44) and the conventional cell measures 3.766, 4.792 and 12.076 Å, with angles of 90.00, 90.00 and 90.00 degrees. The distinct sites, in fractional coordinates, are Ca at (0.000, 0.000, 0.000), Ca at (0.000, 0.500, 0.198), Mg at (0.000, 0.000, 0.376) and As at (0.000, 0.500, 0.704).

Run b
Ca2MgAs: optimized geometry, PBEsol.

The calculation puts the magnetization at 0.0 Bohr magnetons per cell. The crystal system is tetragonal.

The space group is P4/mmm (No. 123) and the conventional cell measures 3.819, 3.819 and 6.975 Å, with angles of 90.00, 90.00 and 90.00 degrees. The distinct sites, in fractional coordinates, are Ca at (0.000, 0.000, 0.213), Mg at (0.500, 0.500, 0.500) and As at (0.500, 0.500, 0.000).

Of them, run a has the lowest stability.

Run a
CaMoAs2: optimized geometry, PBEsol.

The calculation puts the magnetization at 5.4 Bohr magnetons per cell. The crystal system is cubic.

The space group is F-43m (No. 216) and the conventional cell measures 6.621, 6.621 and 6.621 Å, with angles of 90.00, 90.00 and 90.00 degrees. The distinct sites, in fractional coordinates, are Ca at (0.000, 0.000, 0.000), Mo at (0.250, 0.250, 0.750), As at (0.000, 0.000, 0.500) and As at (0.250, 0.250, 0.250).

Run b
CaMoAs2: optimized geometry, PBEsol.

The calculation puts the magnetization at 0.0 Bohr magnetons per cell. The crystal system is orthorhombic.

The space group is Imm2 (No. 44) and the conventional cell measures 3.306, 3.504 and 13.698 Å, with angles of 90.00, 90.00 and 90.00 degrees. The distinct sites, in fractional coordinates, are Ca at (0.000, 0.000, 0.000), Mo at (0.000, 0.500, 0.747), As at (0.000, 0.000, 0.381) and As at (0.000, 0.500, 0.172).

Run c
CaMoAs2: optimized geometry, PBEsol.

The calculation puts the magnetization at 0.0 Bohr magnetons per cell. The crystal system is orthorhombic.

The space group is Pmmm (No. 47) and the conventional cell measures 3.571, 4.077 and 5.260 Å, with angles of 90.00, 90.00 and 90.00 degrees. The distinct sites, in fractional coordinates, are Ca at (0.000, 0.000, 0.000), Mo at (0.500, 0.500, 0.500), As at (0.000, 0.000, 0.500) and As at (0.500, 0.500, 0.000).

Of them, run a has the lowest stability.